An optimized crystal structure of ZrAlTe2. Source: the Alexandria database, functional PBEsol.

total DFT energy (no corrections)	-5.487	eV/atom
raw formation energy	-0.429	eV per atom
total magnetization	0.00	μB/cell
D(E_F)	2.8	states/eV per cell

a = 3.5799 Å, b = 3.5799 Å, c = 7.0674 Å
α = 90.00°, β = 90.00°, γ = 90.00°
Space group P4/mmm (No. 123)
One atom of each set of equivalent atoms:
Zr 0.0000 0.0000 0.0000 [1 per cell]
Al 0.0000 0.0000 0.5000 [1 per cell]
Te 0.5000 0.5000 0.2336 [2 per cell]



An optimized crystal structure of ThAl2. Source: the Alexandria database, functional PBEsol.

total DFT energy (no corrections)	-5.851	eV/atom
calculated formation energy	-0.421	eV/atom
total magnetization	0.00	μB/cell
D(E_F)	0.7	states/eV per cell

a = 4.4001 Å, b = 4.4001 Å, c = 4.0813 Å
α = 90.00°, β = 90.00°, γ = 120.00°
Space group P6/mmm (No. 191)
One atom of each set of equivalent atoms:
Th 0.0000 0.0000 0.0000 [1 per cell]
Al 0.3333 0.6667 0.5000 [2 per cell]